# 1
La3NiAg | PBE | relaxed Values from VASP.

The structure in Quantum ESPRESSO input format:
```
&SYSTEM
  ibrav = 0, nat = 10, ntyp = 3
/
ATOMIC_SPECIES
La 138.91 La.upf
Ni 58.69 Ni.upf
Ag 107.87 Ag.upf
ATOMIC_POSITIONS crystal
La 0.927 0.820 0.414
La 0.584 0.134 0.669
La 0.372 0.712 0.753
La 0.029 0.026 0.007
La 0.734 0.435 0.009
La 0.222 0.411 0.412
Ni 0.765 0.496 0.640
Ni 0.191 0.350 0.782
Ag 0.571 0.108 0.284
Ag 0.385 0.738 0.138
CELL_PARAMETERS angstrom
4.024 0.000 0.000
-2.011 8.164 -0.642
0.000 0.123 8.648
```

# 2
YHo2Ag | PBE | relaxed Values from VASP.

The structure in Quantum ESPRESSO input format:
```
&SYSTEM
  ibrav = 0, nat = 16, ntyp = 3
/
ATOMIC_SPECIES
Y 88.91 Y.upf
Ho 164.93 Ho.upf
Ag 107.87 Ag.upf
ATOMIC_POSITIONS crystal
Y 0.606 0.505 0.250
Y 0.894 0.005 0.250
Y 0.394 0.495 0.750
Y 0.106 0.995 0.750
Ho 0.202 0.705 0.050
Ho 0.298 0.205 0.450
Ho 0.798 0.295 0.550
Ho 0.702 0.795 0.950
Ho 0.798 0.295 0.950
Ho 0.702 0.795 0.550
Ho 0.202 0.705 0.450
Ho 0.298 0.205 0.050
Ag 0.033 0.431 0.250
Ag 0.467 0.931 0.250
Ag 0.967 0.569 0.750
Ag 0.533 0.069 0.750
CELL_PARAMETERS angstrom
6.747 0.000 0.000
0.000 6.899 0.000
0.000 0.000 9.734
```

# 3
Sr2Cd9Pt3 | PBE | relaxed Values from VASP.

The structure in Quantum ESPRESSO input format:
```
&SYSTEM
  ibrav = 0, nat = 28, ntyp = 3
/
ATOMIC_SPECIES
Sr 87.62 Sr.upf
Cd 112.41 Cd.upf
Pt 195.08 Pt.upf
ATOMIC_POSITIONS crystal
Sr 0.371 0.258 0.760
Sr 0.629 0.742 0.240
Sr 0.998 0.611 0.740
Sr 0.002 0.389 0.260
Cd 0.476 0.933 0.748
Cd 0.524 0.067 0.252
Cd 0.685 0.728 0.752
Cd 0.315 0.272 0.248
Cd 0.440 0.640 0.915
Cd 0.560 0.360 0.085
Cd 0.225 0.524 0.585
Cd 0.775 0.476 0.415
Cd 0.925 0.175 0.750
Cd 0.075 0.825 0.250
Cd 0.141 0.994 0.955
Cd 0.859 0.006 0.045
Cd 0.539 0.186 0.545
Cd 0.461 0.814 0.455
Cd 0.873 0.869 0.564
Cd 0.127 0.131 0.436
Cd 0.805 0.309 0.936
Cd 0.195 0.691 0.064
Pt 0.500 0.000 0.000
Pt 0.500 0.500 0.500
Pt 0.845 0.177 0.487
Pt 0.155 0.823 0.513
Pt 0.190 0.358 0.013
Pt 0.810 0.642 0.987
CELL_PARAMETERS angstrom
-2.850 -0.037 -8.021
-2.019 -6.054 5.633
-5.822 7.697 6.161
```

| no. | E (eV per cell) | formation energy from the elements (eV/f.u.) | total magnetic moment (μB/f.u.) |
| --- | --- | --- | --- |
| 1 | -49.21 | -1.19 | 0.00 |
| 2 | -75.87 | -0.50 | 0.00 |
| 3 | -70.05 | -5.30 | 0.00 |